DFT (PBE) results for an optimized crystal structure of Sr2AlCo.

raw total energy: -27.40 eV per cell
magnetization: 0.000 μB/cell
D(E_F): 5.60 states/eV per cell

```
data_Sr2AlCo
_space_group_name_H-M_alt 'P 1'
_space_group_IT_number 1
_space_group_name_Hall 'P 1'
_cell_length_a 4.1350
_cell_length_b 4.8328
_cell_length_c 12.1095
_cell_angle_alpha 90.00
_cell_angle_beta 90.00
_cell_angle_gamma 90.00
loop_
_atom_site_label
_atom_site_fract_x
_atom_site_fract_y
_atom_site_fract_z
Sr1 0.0000 0.0000 0.0000
Sr2 0.0000 0.5000 0.2353
Sr3 0.5000 0.0000 0.7353
Sr4 0.5000 0.5000 0.5000
Al1 0.0000 0.5000 0.8084
Al2 0.5000 0.0000 0.3084
Co1 0.0000 0.0000 0.3981
Co2 0.5000 0.5000 0.8981
```